Density functional theory data (GGA-PBE) for a relaxed Th8Co3Te4Ru crystal.

Geometry as CIF:
```
data_Th8Co3Te4Ru
_cell_length_a 8.2102
_cell_length_b 8.2102
_cell_length_c 23.0104
_cell_angle_alpha 90.00
_cell_angle_beta 90.00
_cell_angle_gamma 120.00
_symmetry_space_group_name_H-M 'R -3 m'
_symmetry_Int_Tables_number 166
_symmetry_space_group_name_Hall '-R 3 2"'
loop_
_atom_site_label
_atom_site_fract_x
_atom_site_fract_y
_atom_site_fract_z
Th1 0.0000 0.0000 0.2309
Th2 0.0040 0.5020 0.7678
Co1 0.0000 0.5000 0.5000
Te1 0.0000 0.0000 0.0000
Te2 0.0000 0.5000 0.0000
Ru1 0.0000 0.0000 0.5000
```

Uncorrected energy = -7.1940 eV per atom
Uncorrected formation energy = -0.787 eV/atom